TbDy8Er6: relaxed, GGA-PBE.

Values from the calculation:
Size of the total moment (Bohr magnetons per cell): 0.0
Formation enthalpy at 0 K (meV/atom): 132
Electronic total energy (eV per cell): -66.85
Space group: R-3, No. 148
D(E_F) (states/eV/atom): 1.53
Crystal system: trigonal

Unit cell a=8.949 b=8.949 c=8.544 alpha=58.42 beta=58.42 gamma=60.00
Sites, in units of the cell vectors:
Dy1 0.890 0.256 0.575
Dy2 0.423 0.423 0.730
Er1 0.540 0.107 0.121
Dy3 0.256 0.279 0.575
Tb1 0.000 0.000 0.000
Er2 0.893 0.767 0.879
Dy4 0.279 0.890 0.575
Dy5 0.744 0.721 0.425
Dy6 0.577 0.577 0.270
Er3 0.767 0.460 0.879
Er4 0.107 0.233 0.121
Er5 0.460 0.893 0.879
Er6 0.233 0.540 0.121
Dy7 0.721 0.110 0.425
Dy8 0.110 0.744 0.425

---

FeAgOs2: relaxed, GGA-PBE.

Values from the calculation:
Size of the total moment (Bohr magnetons per cell): 0.0
Formation enthalpy at 0 K (meV/atom): 999
Electronic total energy (eV per cell): -59.56
ΔE to the lowest computed polymorph (meV per atom): 650
Space group: I-42d, No. 122
D(E_F) (states/eV/atom): 1.26
Crystal system: tetragonal

Unit cell a=7.085 b=7.085 c=5.598 alpha=50.74 beta=50.74 gamma=90.00
Sites, in units of the cell vectors:
Ag1 0.750 0.250 0.500
Os1 0.564 0.125 0.250
Ag2 0.000 0.000 0.000
Fe1 0.500 0.500 0.000
Fe2 0.250 0.750 0.500
Os2 0.186 0.625 0.250
Os3 0.375 0.436 0.750
Os4 0.875 0.814 0.750

---

Tb2PmSm4Ho: relaxed, GGA-PBE.

Values from the calculation:
Size of the total moment (Bohr magnetons per cell): 0.0
Formation enthalpy at 0 K (meV/atom): 16
Electronic total energy (eV per cell): -37.33
Space group: P2/m, No. 10
D(E_F) (states/eV/atom): 1.40
Crystal system: monoclinic

Unit cell a=3.606 b=6.230 c=11.938 alpha=79.81 beta=90.00 gamma=90.00
Sites, in units of the cell vectors:
Tb1 0.000 0.000 0.000
Ho1 0.000 0.500 0.500
Pm1 0.500 0.500 0.000
Sm1 0.000 0.250 0.252
Sm2 0.500 0.751 0.252
Tb2 0.500 0.000 0.500
Sm3 0.000 0.750 0.748
Sm4 0.500 0.249 0.748

---

BiRhSe2: relaxed, GGA-PBE.

Values from the calculation:
ΔE_f (raw) (eV per atom): -0.240
Size of the total moment (Bohr magnetons per cell): 0.0
Electronic total energy (eV per cell): -38.32
Space group: Pm, No. 6
D(E_F) (states/eV/atom): 0.59
Crystal system: monoclinic

Unit cell a=8.505 b=3.720 c=6.616 alpha=89.95 beta=106.67 gamma=90.02
Sites, in units of the cell vectors:
Se1 0.305 0.434 0.556
Se2 0.015 0.434 0.851
Rh1 0.552 0.435 0.409
Bi1 0.121 0.934 0.272
Rh2 0.838 0.935 0.629
Se3 0.427 0.935 0.170
Se4 0.821 0.435 0.364
Bi2 0.682 0.434 0.846

---

KAlAs: relaxed, GGA-PBE.

Values from the calculation:
Size of the total moment (Bohr magnetons per cell): 0.7
Formation enthalpy at 0 K (meV/atom): -265
Electronic total energy (eV per cell): -10.28
Space group: P3m1, No. 156
D(E_F) (states/eV/atom): 0.40
Crystal system: trigonal

Unit cell a=4.131 b=4.131 c=5.962 alpha=90.00 beta=90.00 gamma=120.00
Each line ends with the local moment (μB).
Sites, in units of the cell vectors:
Al1 0.000 0.000 0.106  0.08
As1 0.333 0.667 0.239  0.08
K1 0.667 0.333 0.654  0.03

---

Sr2LiPmS4: relaxed, GGA-PBE.

Values from the calculation:
ΔE_f (raw) (eV per atom): -1.930
Size of the total moment (Bohr magnetons per cell): 0.0
Electronic total energy (eV per cell): -41.98
Space group: P2/m, No. 10
D(E_F) (states/eV/atom): 0.00
Crystal system: monoclinic

Unit cell a=4.166 b=7.099 c=7.146 alpha=108.85 beta=90.00 gamma=90.00
Sites, in units of the cell vectors:
Pm1 0.000 0.000 0.000
S1 0.000 0.751 0.236
S2 0.500 0.756 0.769
Sr1 0.500 0.000 0.500
Sr2 0.000 0.500 0.500
S3 0.000 0.249 0.764
Li1 0.500 0.500 0.000
S4 0.500 0.244 0.231

---

> electronic total energy of number 3 (Tb2PmSm4Ho)?

-37.33 eV per cell

---

> Which of these has the lowest D(E_F)?

Sr2LiPmS4

---

Repeat the third record exactly.
Tb2PmSm4Ho: relaxed, GGA-PBE.

Values from the calculation:
Size of the total moment (Bohr magnetons per cell): 0.0
Formation enthalpy at 0 K (meV/atom): 16
Electronic total energy (eV per cell): -37.33
Space group: P2/m, No. 10
D(E_F) (states/eV/atom): 1.40
Crystal system: monoclinic

Unit cell a=3.606 b=6.230 c=11.938 alpha=79.81 beta=90.00 gamma=90.00
Sites, in units of the cell vectors:
Tb1 0.000 0.000 0.000
Ho1 0.000 0.500 0.500
Pm1 0.500 0.500 0.000
Sm1 0.000 0.250 0.252
Sm2 0.500 0.751 0.252
Tb2 0.500 0.000 0.500
Sm3 0.000 0.750 0.748
Sm4 0.500 0.249 0.748

---

> The highest electronic total energy belongs to which entry?

KAlAs